Entry 1:
First-principles (GGA-PBEsol) data for crystalline KYCr2 at its relaxed geometry, as listed in Alexandria via LeMat-Bulk.

Summary:
total moment: 8.6 Bohr magnetons per cell
formation energy: 1031 meV/atom
E above lowest polymorph: 339 meV/atom
electronic total energy: -24.32 eV per cell

Cell: 3.5315 3.5315 8.6790 Å, 90.00 90.00 90.00°
Space group P4/mmm (No. 123)
Inequivalent atoms, fractional coordinates:
K 0.0000 0.0000 0.0000 x1
Y 0.0000 0.0000 0.5000 x1
Cr 0.5000 0.5000 0.3042 x2

=====

Entry 2:
First-principles (GGA-PBEsol) data for crystalline K4YCr at its relaxed geometry, as listed in Alexandria via LeMat-Bulk.

Summary:
total moment: 21.7 Bohr magnetons per cell
formation energy: 1014 meV/atom
electronic total energy: -62.06 eV per cell

Cell: 10.2081 10.2081 10.2081 Å, 90.00 90.00 90.00°
Space group F-43m (No. 216)
Inequivalent atoms, fractional coordinates:
K 0.1238 0.1238 0.1238 x16
Y 0.0000 0.0000 0.5000 x4
Cr 0.2500 0.2500 0.7500 x4

=====

Entry 3:
First-principles (GGA-PBEsol) data for crystalline KZn2Cr at its relaxed geometry, as listed in Alexandria via LeMat-Bulk.

Summary:
total moment: 4.4 Bohr magnetons per cell
formation energy: 585 meV/atom
electronic total energy: -12.20 eV per cell

Cell: 3.0318 3.5089 8.0393 Å, 90.00 90.00 90.00°
Space group Pmm2 (No. 25)
Inequivalent atoms, fractional coordinates:
K 0.0000 0.0000 0.0000 x1
Zn 0.0000 0.0000 0.4913 x1
Zn 0.5000 0.5000 0.3173 x1
Cr 0.5000 0.5000 0.6502 x1

=====

Entry 4:
First-principles (GGA-PBEsol) data for crystalline K2ZnCr at its relaxed geometry, as listed in Alexandria via LeMat-Bulk.

Summary:
total moment: 20.5 Bohr magnetons per cell
formation energy: 835 meV/atom
electronic total energy: -43.00 eV per cell

Cell: 7.7900 7.7900 7.7900 Å, 90.00 90.00 90.00°
Space group F-43m (No. 216)
Inequivalent atoms, fractional coordinates:
K 0.0000 0.0000 0.0000 x4
K 0.2500 0.2500 0.2500 x4
Zn 0.0000 0.0000 0.5000 x4
Cr 0.2500 0.2500 0.7500 x4

=====

Entry 5:
First-principles (GGA-PBEsol) data for crystalline K2ZnCr at its relaxed geometry, as listed in Alexandria via LeMat-Bulk.

Summary:
total moment: 9.8 Bohr magnetons per cell
formation energy: 720 meV/atom
electronic total energy: -22.42 eV per cell

Cell: 4.5596 5.1045 12.4900 Å, 90.00 90.00 90.00°
Space group Amm2 (No. 38)
Inequivalent atoms, fractional coordinates:
K 0.0000 0.0000 0.0000 x2
K 0.5000 0.0000 0.2992 x2
Zn 0.0000 0.0000 0.7014 x2
Cr 0.5000 0.0000 0.6035 x2

=====

Entry 6:
First-principles (GGA-PBEsol) data for crystalline K4ZnCr at its relaxed geometry, as listed in Alexandria via LeMat-Bulk.

Summary:
total moment: 20.8 Bohr magnetons per cell
formation energy: 871 meV/atom
electronic total energy: -44.52 eV per cell

Cell: 10.3486 10.3486 10.3486 Å, 90.00 90.00 90.00°
Space group F-43m (No. 216)
Inequivalent atoms, fractional coordinates:
K 0.1246 0.1246 0.1246 x16
Zn 0.0000 0.0000 0.5000 x4
Cr 0.2500 0.2500 0.7500 x4

=====

Entry 7:
First-principles (GGA-PBEsol) data for crystalline KZnCr2 at its relaxed geometry, as listed in Alexandria via LeMat-Bulk.

Summary:
total moment: 8.1 Bohr magnetons per cell
formation energy: 1316 meV/atom
electronic total energy: -17.94 eV per cell

Cell: 2.9834 5.0711 5.2679 Å, 90.00 90.00 90.00°
Space group Pmmm (No. 47)
Inequivalent atoms, fractional coordinates:
K 0.0000 0.0000 0.0000 x1
Zn 0.5000 0.0000 0.5000 x1
Cr 0.0000 0.5000 0.5000 x1
Cr 0.5000 0.5000 0.0000 x1

=====

Entry 8:
First-principles (GGA-PBEsol) data for crystalline KZnCr2 at its relaxed geometry, as listed in Alexandria via LeMat-Bulk.

Summary:
total moment: 9.2 Bohr magnetons per cell
formation energy: 1356 meV/atom
electronic total energy: -17.77 eV per cell

Cell: 4.4663 4.4663 4.3196 Å, 90.00 90.00 90.00°
Space group P4/mmm (No. 123)
Inequivalent atoms, fractional coordinates:
K 0.0000 0.0000 0.0000 x1
Zn 0.5000 0.5000 0.0000 x1
Cr 0.0000 0.5000 0.5000 x2

=====

Entry 9:
First-principles (GGA-PBEsol) data for crystalline LaCr2 at its relaxed geometry, as listed in Alexandria via LeMat-Bulk.

Summary:
total moment: 0.0 Bohr magnetons per cell
formation energy: 429 meV/atom
electronic total energy: -98.17 eV per cell

Cell: 3.5305 15.2299 4.1797 Å, 90.00 90.00 90.00°
Space group Cmcm (No. 63)
Inequivalent atoms, fractional coordinates:
La 0.0000 0.0827 0.2500 x4
Cr 0.0000 0.2540 0.7500 x4
Cr 0.0000 0.3353 0.2500 x4

=====

Entry 10:
First-principles (GGA-PBEsol) data for crystalline LaCr2 at its relaxed geometry, as listed in Alexandria via LeMat-Bulk.

Summary:
total moment: 0.0 Bohr magnetons per cell
formation energy: 784 meV/atom
electronic total energy: -93.91 eV per cell

Cell: 4.3529 4.3529 12.6720 Å, 90.00 90.00 90.00°
Space group I4_1/amd (No. 141, origin choice 2)
Inequivalent atoms, fractional coordinates:
La 0.0000 0.2500 0.3750 x4
Cr 0.0000 0.2500 0.8000 x8

=====

Entry 11:
First-principles (GGA-PBEsol) data for crystalline LaCr2 at its relaxed geometry, as listed in Alexandria via LeMat-Bulk.

Summary:
total moment: 0.0 Bohr magnetons per cell
formation energy: 505 meV/atom
electronic total energy: -97.26 eV per cell

Cell: 8.8708 2.9652 8.5896 Å, 90.00 109.02 90.00°
Space group C2/m (No. 12)
Inequivalent atoms, fractional coordinates:
La 0.1736 0.0000 0.1424 x4
Cr 0.0055 0.5000 0.3447 x4
Cr 0.1596 0.0000 0.5318 x4

=====

Entry 12:
First-principles (GGA-PBEsol) data for crystalline LiLaCrP2 at its relaxed geometry, as listed in Alexandria via LeMat-Bulk.

Summary:
total moment: 4.4 Bohr magnetons per cell
formation energy: 1141 meV/atom
electronic total energy: -23.43 eV per cell

Cell: 5.3228 5.3228 5.3064 Å, 90.00 90.00 90.00°
Space group P4/mmm (No. 123)
Inequivalent atoms, fractional coordinates:
Li 0.0000 0.0000 0.0000 x1
La 0.0000 0.0000 0.5000 x1
Cr 0.5000 0.5000 0.0000 x1
P 0.0000 0.5000 0.5000 x2

=====

Entry 13:
First-principles (GGA-PBEsol) data for crystalline LiLaCr2Sn at its relaxed geometry, as listed in Alexandria via LeMat-Bulk.

Summary:
total moment: 7.1 Bohr magnetons per cell
formation energy: 1514 meV/atom
electronic total energy: -24.49 eV per cell

Cell: 4.9918 4.9918 5.9107 Å, 90.00 90.00 90.00°
Space group P4/mmm (No. 123)
Inequivalent atoms, fractional coordinates:
Li 0.0000 0.0000 0.0000 x1
La 0.5000 0.5000 0.5000 x1
Cr 0.0000 0.5000 0.5000 x2
Sn 0.5000 0.5000 0.0000 x1

=====

Entry 14:
First-principles (GGA-PBEsol) data for crystalline La2MgCr at its relaxed geometry, as listed in Alexandria via LeMat-Bulk.

Summary:
total moment: 3.4 Bohr magnetons per cell
formation energy: 356 meV/atom
electronic total energy: -21.23 eV per cell

Cell: 3.5858 3.5858 8.0078 Å, 90.00 90.00 90.00°
Space group P4mm (No. 99)
Inequivalent atoms, fractional coordinates:
La 0.0000 0.0000 0.0000 x1
La 0.5000 0.5000 0.2986 x1
Mg 0.0000 0.0000 0.5880 x1
Cr 0.5000 0.5000 0.7721 x1

=====

Entry 15:
First-principles (GGA-PBEsol) data for crystalline La2MgCr at its relaxed geometry, as listed in Alexandria via LeMat-Bulk.

Summary:
total moment: 3.6 Bohr magnetons per cell
formation energy: 287 meV/atom
electronic total energy: -21.50 eV per cell

Cell: 5.3108 5.3108 3.8638 Å, 90.00 90.00 90.00°
Space group P4/mmm (No. 123)
Inequivalent atoms, fractional coordinates:
La 0.0000 0.5000 0.0000 x2
Mg 0.0000 0.0000 0.5000 x1
Cr 0.5000 0.5000 0.5000 x1

=====

Entry 16:
First-principles (GGA-PBEsol) data for crystalline La2MgCr at its relaxed geometry, as listed in Alexandria via LeMat-Bulk.

Summary:
total moment: 6.6 Bohr magnetons per cell
formation energy: 328 meV/atom
electronic total energy: -42.68 eV per cell

Cell: 3.7023 5.3196 10.7815 Å, 90.00 90.00 90.00°
Space group Imm2 (No. 44)
Inequivalent atoms, fractional coordinates:
La 0.0000 0.0000 0.0000 x2
La 0.0000 0.5000 0.2156 x2
Mg 0.0000 0.5000 0.7795 x2
Cr 0.0000 0.0000 0.4795 x2

=====

Entry 17:
First-principles (GGA-PBEsol) data for crystalline LaMg2CrO at its relaxed geometry, as listed in Alexandria via LeMat-Bulk.

Summary:
total moment: 2.5 Bohr magnetons per cell
E_form (uncorrected): -139 meV/atom
electronic total energy: -24.97 eV per cell

Cell: 5.6622 5.6622 3.5531 Å, 90.00 90.00 90.00°
Space group P4/mmm (No. 123)
Inequivalent atoms, fractional coordinates:
La 0.0000 0.0000 0.0000 x1
Mg 0.0000 0.5000 0.5000 x2
Cr 0.5000 0.5000 0.5000 x1
O 0.5000 0.5000 0.0000 x1

=====

Entry 18:
First-principles (GGA-PBEsol) data for crystalline LaMgCrSb2 at its relaxed geometry, as listed in Alexandria via LeMat-Bulk.

Summary:
total moment: 4.9 Bohr magnetons per cell
E_form (uncorrected): 1143 meV/atom
electronic total energy: -20.71 eV per cell

Cell: 5.8900 5.8900 5.9104 Å, 90.00 90.00 90.00°
Space group P4/mmm (No. 123)
Inequivalent atoms, fractional coordinates:
La 0.0000 0.0000 0.0000 x1
Mg 0.0000 0.0000 0.5000 x1
Cr 0.5000 0.5000 0.5000 x1
Sb 0.0000 0.5000 0.0000 x2

=====

Entry 19:
First-principles (GGA-PBEsol) data for crystalline LaMnCr2 at its relaxed geometry, as listed in Alexandria via LeMat-Bulk.

Summary:
total moment: 3.7 Bohr magnetons per cell
formation energy: 689 meV/atom
E above lowest polymorph: 230 meV/atom
electronic total energy: -131.33 eV per cell

Cell: 6.3079 6.3079 6.3079 Å, 90.00 90.00 90.00°
Space group F-43m (No. 216)
Inequivalent atoms, fractional coordinates:
La 0.0000 0.0000 0.0000 x4
Mn 0.2500 0.2500 0.2500 x4
Cr 0.0000 0.0000 0.5000 x4
Cr 0.2500 0.2500 0.7500 x4

=====

Entry 20:
First-principles (GGA-PBEsol) data for crystalline LaMnCr2 at its relaxed geometry, as listed in Alexandria via LeMat-Bulk.

Summary:
total moment: 0.2 Bohr magnetons per cell
formation energy: 459 meV/atom
E above lowest polymorph: 0 meV/atom
electronic total energy: -101.26 eV per cell

Cell: 3.8537 3.8537 16.4918 Å, 90.00 90.00 120.00°
Space group R-3m (No. 166, hexagonal axes)
Inequivalent atoms, fractional coordinates:
La 0.0000 0.0000 0.0000 x3
Mn 0.0000 0.0000 0.5000 x3
Cr 0.0000 0.0000 0.1989 x6